Si2Sb4Mo after structural relaxation, computed with PBE-GGA.

The value obtained for the density of states at the Fermi level is 0.9085 states/eV/atom. The total DFT energy (no corrections) is -4.776 eV/atom.

The structure belongs to space group I4/mmm (No. 139); the cell edges are 5.373, 5.373 and 13.030 Å and the angles 90.00°, 90.00° and 90.00°. The inequivalent atoms are Si at (0.000, 0.000, 0.097), Sb at (0.000, 0.000, 0.291), Sb at (0.000, 0.500, 0.000) and Mo at (0.000, 0.000, 0.500).

CePrSe2 after structural relaxation, computed with PBE-GGA.

Its excess energy over the best structure of this formula in the dataset is 0.000 eV per formula unit. The value obtained for the density of states at the Fermi level is 1.6959 states/eV/atom. The total DFT energy (no corrections) is -6.259 eV/atom.

The structure belongs to space group R-3m (No. 166, hexagonal axes); the cell edges are 4.2305, 4.2305 and 20.8075 Å and the angles 90.00°, 90.00° and 120.00°. The inequivalent atoms are Ce at (0.0000, 0.0000, 0.0000), Pr at (0.0000, 0.0000, 0.5000) and Se at (0.0000, 0.0000, 0.2516).

TbCe2NiS5 after structural relaxation, computed with PBE-GGA.

The value obtained for the density of states at the Fermi level is 1.0644 states/eV/atom. The total DFT energy (no corrections) is -6.523 eV/atom.

The structure belongs to space group Cmc2_1 (No. 36); the cell edges are 3.826, 16.457 and 11.822 Å and the angles 90.00°, 90.00° and 90.00°. The inequivalent atoms are Tb at (0.000, 0.176, 0.000), Ce at (0.000, 0.111, 0.323), Ce at (0.000, 0.117, 0.669), Ni at (0.000, 0.449, 0.390), S at (0.000, 0.012, 0.982), S at (0.000, 0.304, 0.666), S at (0.000, 0.317, 0.333), S at (0.000, 0.343, 0.994) and S at (0.000, 0.495, 0.721).

TbSm6Tl5 after structural relaxation, computed with PBE-GGA.

Its excess energy over the best structure of this formula in the dataset is 1.243 eV per formula unit. The value obtained for the formation energy is -4.41 kcal/mol of atoms. The value obtained for the density of states at the Fermi level is 1.0564 states/eV/atom. The total DFT energy (no corrections) is -3.923 eV/atom.

The structure belongs to space group C2/m (No. 12); the cell edges are 10.484, 11.559 and 6.318 Å and the angles 90.00°, 103.37° and 90.00°. The inequivalent atoms are Tb at (0.000, 0.000, 0.000), Sm at (0.220, 0.500, 0.218), Sm at (0.224, 0.319, 0.732), Tl at (0.000, 0.135, 0.500), Tl at (0.000, 0.294, 0.000) and Tl at (0.000, 0.500, 0.500).

ZnSeBr2 after structural relaxation, computed with PBE-GGA.

Its excess energy over the best structure of this formula in the dataset is 3.386 eV per formula unit. The value obtained for the density of states at the Fermi level is 0.9765 states/eV/atom. The total DFT energy (no corrections) is -1.617 eV/atom.

The structure belongs to space group P4/mmm (No. 123); the cell edges are 5.047, 5.047 and 3.608 Å and the angles 90.00°, 90.00° and 90.00°. The inequivalent atoms are Zn at (0.000, 0.000, 0.000), Se at (0.500, 0.500, 0.000) and Br at (0.000, 0.500, 0.500).

Y2Hf2Al after structural relaxation, computed with PBE-GGA.

Its excess energy over the best structure of this formula in the dataset is 1.523 eV per formula unit. The value obtained for the formation energy is 9.14 kcal/mol of atoms. The value obtained for the density of states at the Fermi level is 0.9895 states/eV/atom. The total DFT energy (no corrections) is -6.919 eV/atom.

The structure belongs to space group I4/mmm (No. 139); the cell edges are 4.013, 4.013 and 16.946 Å and the angles 90.00°, 90.00° and 90.00°. The inequivalent atoms are Y at (0.000, 0.000, 0.094), Hf at (0.000, 0.500, 0.250) and Al at (0.000, 0.000, 0.500).

Pm6TeSe3S2 after structural relaxation, computed with PBE-GGA.

The value obtained for the density of states at the Fermi level is 0.4344 states/eV/atom. The total DFT energy (no corrections) is -6.003 eV/atom.

The structure belongs to space group C2/m (No. 12); the cell edges are 18.271, 4.166 and 8.459 Å and the angles 90.00°, 103.48° and 90.00°. The inequivalent atoms are Pm at (0.010, 0.000, 0.273), Pm at (0.171, 0.500, 0.573), Pm at (0.175, 0.500, 0.109), Te at (0.000, 0.500, 0.000), Se at (0.000, 0.500, 0.500), Se at (0.161, 0.000, 0.835) and S at (0.170, 0.000, 0.339).

HfTeAsN2 after structural relaxation, computed with PBE-GGA.

Its excess energy over the best structure of this formula in the dataset is 3.541 eV per formula unit. The value obtained for the density of states at the Fermi level is 0.7664 states/eV/atom. The total DFT energy (no corrections) is -5.682 eV/atom.

The structure belongs to space group P4/mmm (No. 123); the cell edges are 4.034, 4.034 and 5.197 Å and the angles 90.00°, 90.00° and 90.00°. The inequivalent atoms are Hf at (0.000, 0.000, 0.000), Te at (0.500, 0.500, 0.000), As at (0.500, 0.500, 0.500) and N at (0.000, 0.500, 0.500).

TcAsW2 after structural relaxation, computed with PBE-GGA.

The value obtained for the formation energy is 10.17 kcal/mol of atoms. The value obtained for the density of states at the Fermi level is 1.2261 states/eV/atom. The total DFT energy (no corrections) is -9.789 eV/atom.

The structure belongs to space group Cmmm (No. 65); the cell edges are 3.118, 4.608 and 8.878 Å and the angles 90.00°, 90.00° and 90.00°. The inequivalent atoms are Tc at (0.000, 0.000, 0.000), As at (0.000, 0.000, 0.500) and W at (0.000, 0.500, 0.245).

HgMo2Pb after structural relaxation, computed with PBE-GGA.

Its excess energy over the best structure of this formula in the dataset is 1.992 eV per formula unit. The value obtained for the formation energy is 20.62 kcal/mol of atoms. The value obtained for the density of states at the Fermi level is 1.0940 states/eV/atom. The total DFT energy (no corrections) is -5.524 eV/atom.

The structure belongs to space group P4/mmm (No. 123); the cell edges are 4.170, 4.170 and 4.429 Å and the angles 90.00°, 90.00° and 90.00°. The inequivalent atoms are Hg at (0.000, 0.000, 0.000), Mo at (0.000, 0.500, 0.500) and Pb at (0.500, 0.500, 0.000).

InAgW2 after structural relaxation, computed with PBE-GGA.

The value obtained for the formation energy is 16.73 kcal/mol of atoms. The value obtained for the density of states at the Fermi level is 0.5492 states/eV/atom. The total DFT energy (no corrections) is -7.149 eV/atom.

The structure belongs to space group P4/mmm (No. 123); the cell edges are 2.794, 2.794 and 8.962 Å and the angles 90.00°, 90.00° and 90.00°. The inequivalent atoms are In at (0.000, 0.000, 0.000), Ag at (0.000, 0.000, 0.500) and W at (0.500, 0.500, 0.254).

Pm2Sm6Y3Sc after structural relaxation, computed with PBE-GGA.

The value obtained for the formation energy is 0.57 kcal/mol of atoms. The value obtained for the density of states at the Fermi level is 1.3349 states/eV/atom. The total DFT energy (no corrections) is -5.270 eV/atom.

The structure belongs to space group C2/m (No. 12); the cell edges are 6.219, 10.770 and 11.862 Å and the angles 90.00°, 100.05° and 90.00°. The inequivalent atoms are Pm at (0.000, 0.167, 0.000), Sm at (0.247, 0.335, 0.249), Sm at (0.248, 0.500, 0.751), Y at (0.000, 0.000, 0.500), Y at (0.000, 0.334, 0.500) and Sc at (0.000, 0.500, 0.000).

Li2Nd3Hg3 after structural relaxation, computed with PBE-GGA.

Its excess energy over the best structure of this formula in the dataset is 0.000 eV per formula unit. The value obtained for the formation energy is -8.10 kcal/mol of atoms. The value obtained for the density of states at the Fermi level is 0.6686 states/eV/atom. The total DFT energy (no corrections) is -2.731 eV/atom.

The structure belongs to space group Cmcm (No. 63); the cell edges are 4.895, 10.180 and 16.250 Å and the angles 90.00°, 90.00° and 90.00°. The inequivalent atoms are Li at (0.000, 0.232, 0.089), Nd at (0.000, 0.074, 0.611), Nd at (0.000, 0.375, 0.750), Hg at (0.000, 0.322, 0.250) and Hg at (0.000, 0.378, 0.552).

Tb2TmGe2 after structural relaxation, computed with PBE-GGA.

Its excess energy over the best structure of this formula in the dataset is 0.000 eV per formula unit. The value obtained for the formation energy is -18.44 kcal/mol of atoms. The value obtained for the density of states at the Fermi level is 0.8194 states/eV/atom. The total DFT energy (no corrections) is -5.393 eV/atom.

The structure belongs to space group P4/mbm (No. 127); the cell edges are 7.546, 7.546 and 4.268 Å and the angles 90.00°, 90.00° and 90.00°. The inequivalent atoms are Tb at (0.173, 0.327, 0.000), Tm at (0.000, 0.000, 0.500) and Ge at (0.125, 0.625, 0.500).

PrSiPIr6 after structural relaxation, computed with PBE-GGA.

The value obtained for the density of states at the Fermi level is 0.8193 states/eV/atom. The total DFT energy (no corrections) is -7.674 eV/atom.

The structure belongs to space group Imma (No. 74); the cell edges are 6.088, 9.180 and 11.554 Å and the angles 90.00°, 90.00° and 90.00°. The inequivalent atoms are Pr at (0.000, 0.250, 0.179), Si at (0.250, 0.250, 0.750), P at (0.000, 0.000, 0.500), Ir at (0.000, 0.250, 0.430), Ir at (0.000, 0.250, 0.901) and Ir at (0.240, 0.018, 0.866).

Cs2Rb3Hg2 after structural relaxation, computed with PBE-GGA.

The value obtained for the formation energy is -3.14 kcal/mol of atoms. The value obtained for the density of states at the Fermi level is 0.7139 states/eV/atom. The total DFT energy (no corrections) is -0.881 eV/atom.

The structure belongs to space group C2/m (No. 12); the cell edges are 16.311, 5.333 and 10.967 Å and the angles 90.00°, 99.76° and 90.00°. The inequivalent atoms are Cs at (0.117, 0.000, 0.382), Rb at (0.000, 0.500, 0.000), Rb at (0.188, 0.000, 0.826) and Hg at (0.059, 0.500, 0.628).

CsTaRh3 after structural relaxation, computed with PBE-GGA.

Its excess energy over the best structure of this formula in the dataset is 8.560 eV per formula unit. The value obtained for the formation energy is 56.33 kcal/mol of atoms. The value obtained for the density of states at the Fermi level is 1.6784 states/eV/atom. The total DFT energy (no corrections) is -4.509 eV/atom.

The structure belongs to space group Pm-3m (No. 221); the cell edges are 4.839, 4.839 and 4.839 Å and the angles 90.00°, 90.00° and 90.00°. The inequivalent atoms are Cs at (0.000, 0.000, 0.000), Ta at (0.500, 0.500, 0.500) and Rh at (0.000, 0.000, 0.500).

Ac2La3Sm8 after structural relaxation, computed with PBE-GGA.

The value obtained for the formation energy is 5.20 kcal/mol of atoms. The value obtained for the density of states at the Fermi level is 1.6521 states/eV/atom. The total DFT energy (no corrections) is -4.448 eV/atom.

The structure belongs to space group Cmmm (No. 65); the cell edges are 7.901, 21.894 and 5.688 Å and the angles 90.00°, 90.00° and 90.00°. The inequivalent atoms are Ac at (0.000, 0.240, 0.000), La at (0.000, 0.000, 0.000), La at (0.200, 0.500, 0.500), Sm at (0.000, 0.123, 0.500), Sm at (0.000, 0.342, 0.500) and Sm at (0.210, 0.396, 0.000).

LiRhAu3 after structural relaxation, computed with PBE-GGA.

Its excess energy over the best structure of this formula in the dataset is 0.000 eV per formula unit. The value obtained for the formation energy is 10.36 kcal/mol of atoms. The value obtained for the density of states at the Fermi level is 0.8485 states/eV/atom. The total DFT energy (no corrections) is -3.370 eV/atom.

The structure belongs to space group Pm-3m (No. 221); the cell edges are 4.382, 4.382 and 4.382 Å and the angles 90.00°, 90.00° and 90.00°. The inequivalent atoms are Li at (0.000, 0.000, 0.000), Rh at (0.500, 0.500, 0.500) and Au at (0.000, 0.000, 0.500).

Pm4Dy9Er11 after structural relaxation, computed with PBE-GGA.

The value obtained for the formation energy is 1.29 kcal/mol of atoms. The value obtained for the density of states at the Fermi level is 1.2415 states/eV/atom. The total DFT energy (no corrections) is -4.553 eV/atom.

The structure belongs to space group Cmmm (No. 65); the cell edges are 16.610, 24.968 and 3.673 Å and the angles 90.00°, 90.00° and 90.00°. The inequivalent atoms are Pm at (0.154, 0.100, 0.000), Dy at (0.000, 0.000, 0.000), Dy at (0.102, 0.236, 0.000), Dy at (0.139, 0.427, 0.000), Er at (0.000, 0.136, 0.500), Er at (0.000, 0.341, 0.500), Er at (0.000, 0.500, 0.500), Er at (0.213, 0.000, 0.500) and Er at (0.226, 0.319, 0.500).